Material: Ga3FeO
Method: DFT, PBE with a Hubbard U
State: relaxed

Structure (POSCAR):
```
Ga3FeO
1.0
4.8305 0.0000 0.0000
0.0000 4.8305 0.0000
0.0000 0.0000 4.8305
O Fe Ga
1 1 3
Direct
0.5000 0.5000 0.5000
0.0000 0.0000 0.0000
0.0000 0.5000 0.0000
0.0000 0.0000 0.5000
0.5000 0.0000 0.0000
```

Values from the calculation:
DOS(E_F)	2.3	states/eV/cell
volume	112.71	Å³/cell

Material: GaFe2O4
Method: DFT, PBE with a Hubbard U
State: relaxed

Structure (POSCAR):
```
GaFe2O4
1.0
6.0456 -0.0328 0.0118
0.0873 6.0451 -0.0118
-3.0347 -3.0385 4.2554
Ga Fe O
2 4 8
Direct
0.5000 0.5000 0.0000
0.0000 0.5000 0.5000
0.0000 0.5000 0.0000
0.0000 0.0000 0.5000
0.3826 0.1326 0.2500
0.6174 0.8674 0.7500
0.2303 0.7332 0.4971
0.7362 0.7332 0.0029
0.7484 0.7302 0.4817
0.7484 0.2667 0.0183
0.7697 0.2668 0.5029
0.2638 0.2668 0.9971
0.2516 0.2698 0.5183
0.2516 0.7333 0.9817
```

Values from the calculation:
volume	155.53	Å³/cell

Material: GaFeO2
Method: DFT, PBE with a Hubbard U
State: relaxed

Structure (POSCAR):
```
GaFeO2
1.0
-3.3485 -2.4431 2.0982
-1.5782 -1.3936 -4.1413
0.5883 -5.9380 -0.8319
O Fe Ga
4 2 2
Direct
0.6384 0.1250 0.2500
0.1116 0.6250 0.2500
0.3750 0.3616 0.7500
0.8750 0.8884 0.7500
0.5000 0.5000 0.0000
0.2500 0.7500 0.5000
0.0000 0.0000 0.0000
0.7500 0.2500 0.5000
```

Values from the calculation:
DOS(E_F)	1.6	states/eV/cell
volume	109.00	Å³/cell

Material: GaFeO2
Method: DFT, PBE with a Hubbard U
State: relaxed

Structure (POSCAR):
```
GaFeO2
1.0
-1.5015 0.6604 2.8926
-1.8188 -0.6207 -2.7138
0.0019 -5.3482 1.2220
Ga Fe O
1 1 2
Direct
0.0000 0.0000 0.9987
0.6667 0.3333 0.4943
0.6667 0.3333 0.9104
0.0000 0.0000 0.3466
```

Values from the calculation:
DOS(E_F)	2.1	states/eV/cell
volume	52.54	Å³/cell

Material: GaFe2O3
Method: DFT, PBE with a Hubbard U
State: relaxed

Structure (POSCAR):
```
GaFe2O3
1.0
4.4446 0.0000 0.0000
0.0000 6.3747 0.0051
-2.2223 -1.5985 4.7150
Ga Fe O
2 4 6
Direct
0.0000 0.7500 0.0000
0.0000 0.2500 0.0000
0.6681 0.5840 0.3362
0.6681 0.0840 0.3362
0.3319 0.9160 0.6638
0.3319 0.4160 0.6638
0.4996 0.2500 0.0000
0.5004 0.7500 0.0000
0.1778 0.0888 0.3555
0.8222 0.4112 0.6445
0.1778 0.5888 0.3555
0.8222 0.9112 0.6445
```

Values from the calculation:
DOS(E_F)	1.6	states/eV/cell
volume	133.63	Å³/cell

Material: Ga3FeO
Method: DFT, PBE with a Hubbard U
State: relaxed

Structure (POSCAR):
```
Ga3FeO
1.0
4.4452 0.0000 0.0000
0.0000 4.4452 0.0000
0.0000 0.0000 4.4452
O Fe Ga
1 1 3
Direct
0.0000 0.0000 0.0000
0.5000 0.5000 0.5000
0.0000 0.5000 0.0000
0.0000 0.0000 0.5000
0.5000 0.0000 0.0000
```

Values from the calculation:
DOS(E_F)	2.8	states/eV/cell
volume	87.84	Å³/cell

Material: Ga2FeOsO8
Method: DFT, PBE with a Hubbard U
State: relaxed

Structure (POSCAR):
```
Ga2FeOsO8
1.0
-1.0825 0.6447 4.4273
3.1902 -3.1353 1.0680
4.1433 4.3451 0.3802
Ga Fe Os O
2 1 1 8
Direct
0.5000 0.5000 0.7386
0.5000 0.5000 0.2614
0.0000 0.0000 0.5000
0.0000 0.0000 0.0000
0.1877 0.8112 0.2422
0.7005 0.7015 0.0000
0.8123 0.1888 0.2422
0.8123 0.1888 0.7578
0.2995 0.2985 0.0000
0.1877 0.8112 0.7578
0.6982 0.6993 0.5000
0.3018 0.3007 0.5000
```

Values from the calculation:
DOS(E_F)	1.5	states/eV/cell
volume	127.27	Å³/cell

Material: GaFeOsO6
Method: DFT, PBE with a Hubbard U
State: relaxed

Structure (POSCAR):
```
GaFeOsO6
1.0
-3.9410 1.2742 -2.8745
2.4220 -4.3442 -0.8249
-5.4116 -4.0823 5.6098
Ga Fe Os O
2 2 2 12
Direct
0.3333 0.6667 0.2500
0.6667 0.3333 0.7500
0.0000 0.0000 0.0000
0.0000 0.0000 0.5000
0.6667 0.3333 0.2500
0.3333 0.6667 0.7500
0.6610 0.6515 0.1293
0.9905 0.3390 0.1293
0.3390 0.9905 0.6293
0.0095 0.6610 0.8707
0.3485 0.3390 0.3707
0.9905 0.6515 0.3707
0.6515 0.9905 0.8707
0.6610 0.0095 0.3707
0.0095 0.3485 0.6293
0.3485 0.0095 0.1293
0.6515 0.6610 0.6293
0.3390 0.3485 0.8707
```

Values from the calculation:
DOS(E_F)	5.7	states/eV/cell
volume	193.69	Å³/cell

Material: Ga2FePO6
Method: DFT, PBE with a Hubbard U
State: relaxed

Structure (POSCAR):
```
Ga2FePO6
1.0
5.7174 -0.0409 -0.0425
1.7748 6.4504 -0.4149
1.7748 -0.6537 6.4306
Ga Fe P O
4 2 2 12
Direct
0.3366 0.7240 0.5497
0.1634 0.4503 0.2760
0.6634 0.2760 0.4503
0.8366 0.5497 0.7240
0.2500 0.8991 0.1009
0.7500 0.1009 0.8991
0.2500 0.1969 0.8031
0.7500 0.8031 0.1969
0.1879 0.9735 0.7908
0.3121 0.2092 0.0265
0.8121 0.0265 0.2092
0.6879 0.7908 0.9735
0.4310 0.8865 0.3380
0.0690 0.6620 0.1135
0.5690 0.1135 0.6620
0.9310 0.3380 0.8865
0.0240 0.6898 0.5527
0.4760 0.4473 0.3102
0.9760 0.3102 0.4473
0.5240 0.5527 0.6898
```

Values from the calculation:
DOS(E_F)	3.1	states/eV/cell
volume	236.64	Å³/cell

Material: PaGaFeO6
Method: DFT, PBE with a Hubbard U
State: relaxed

Structure (POSCAR):
```
PaGaFeO6
1.0
4.7786 0.0000 0.0000
0.0000 5.0235 0.0000
0.0000 -2.5118 4.3505
Pa Ga Fe O
1 1 1 6
Direct
0.0000 0.3333 0.6667
0.5000 0.6667 0.3333
0.5000 0.0000 0.0000
0.7251 0.6915 0.6787
0.7251 0.3213 0.0127
0.7251 0.9873 0.3085
0.2749 0.3213 0.3085
0.2749 0.6915 0.0127
0.2749 0.9873 0.6787
```

Values from the calculation:
DOS(E_F)	4.4	states/eV/cell
volume	104.44	Å³/cell

Material: PaGaFe2O8
Method: DFT, PBE with a Hubbard U
State: relaxed

Structure (POSCAR):
```
PaGaFe2O8
1.0
5.8163 0.4283 0.0000
-2.1958 5.4028 0.0000
-1.8102 -2.9155 4.7154
Pa Ga Fe O
1 1 2 8
Direct
0.0000 0.0000 0.0000
0.2500 0.7500 0.5000
0.7500 0.2500 0.5000
0.5000 0.5000 0.0000
0.3710 0.0650 0.3060
0.3093 0.5152 0.2060
0.3093 0.1033 0.7940
0.7590 0.0650 0.6940
0.8967 0.6907 0.2060
0.9350 0.2410 0.3060
0.9350 0.6290 0.6940
0.4848 0.6907 0.7940
```

Values from the calculation:
DOS(E_F)	7.2	states/eV/cell
volume	152.61	Å³/cell

Material: GaFePbO4
Method: DFT, PBE with a Hubbard U
State: relaxed

Structure (POSCAR):
```
GaFePbO4
1.0
-3.6686 2.1142 4.7767
2.1252 -0.2419 6.0043
1.4739 5.4309 2.9932
Ga Fe Pb O
2 2 2 8
Direct
0.6245 0.6255 0.1255
0.3755 0.3745 0.8745
0.5000 0.0000 0.5000
0.0000 0.0000 0.5000
0.0000 0.0000 0.0000
0.0000 0.5000 0.5000
0.7388 0.7636 0.7587
0.2612 0.7413 0.7364
0.7388 0.2587 0.2636
0.2612 0.2364 0.2413
0.2579 0.7584 0.2584
0.7252 0.7584 0.2584
0.2748 0.2416 0.7416
0.7421 0.2416 0.7416
```

Values from the calculation:
DOS(E_F)	4.8	states/eV/cell
volume	184.38	Å³/cell

Material: GaFePb2O6
Method: DFT, PBE with a Hubbard U
State: relaxed

Structure (POSCAR):
```
GaFePb2O6
1.0
-3.0877 -1.1767 4.4529
-2.2521 -5.0359 0.5601
2.1201 -3.5580 3.9826
Ga Fe Pb O
1 1 2 6
Direct
0.3126 0.3126 0.0622
0.8125 0.8125 0.5625
0.5500 0.5500 0.3501
0.0265 0.0265 0.9205
0.5927 0.1335 0.2627
0.1335 0.0111 0.2627
0.0111 0.5927 0.2626
0.4523 0.6892 0.7773
0.6891 0.0812 0.7773
0.0812 0.4523 0.7773
```

Values from the calculation:
DOS(E_F)	0.8	states/eV/cell
volume	127.04	Å³/cell

Material: PmGaFe2O6
Method: DFT, PBE with a Hubbard U
State: relaxed

Structure (POSCAR):
```
PmGaFe2O6
1.0
-4.3441 -2.1615 -2.0348
0.3499 -2.9617 -4.3480
-0.6663 -5.4607 0.4678
Pm Ga Fe O
1 1 2 6
Direct
0.7857 0.7828 0.6481
0.3147 0.3161 0.0555
0.5245 0.5227 0.4295
0.0117 0.0108 0.9686
0.6185 0.2485 0.2237
0.2454 0.9093 0.2233
0.9100 0.6217 0.2222
0.3398 0.7329 0.7476
0.7342 0.1777 0.7466
0.1770 0.3391 0.7502
```

Values from the calculation:
DOS(E_F)	0.0	states/eV/cell
volume	111.16	Å³/cell

Material: PmGaFeO4
Method: DFT, PBE with a Hubbard U
State: relaxed

Structure (POSCAR):
```
PmGaFeO4
1.0
6.2951 0.0000 0.0000
3.1476 5.5367 -0.0728
3.1476 1.6174 5.2957
Pm Ga Fe O
2 2 2 8
Direct
0.0000 0.0000 0.0000
0.0000 0.5000 0.5000
0.6197 0.6303 0.1303
0.3803 0.3697 0.8697
0.5000 0.0000 0.5000
0.0000 0.0000 0.5000
0.7362 0.7595 0.7680
0.2638 0.7320 0.7405
0.7362 0.2680 0.2595
0.2638 0.2405 0.2320
0.2494 0.7588 0.2588
0.7330 0.7588 0.2588
0.2670 0.2412 0.7412
0.7506 0.2412 0.7412
```

Values from the calculation:
DOS(E_F)	0.0	states/eV/cell
volume	185.32	Å³/cell

Material: Pm2GaFeO6
Method: DFT, PBE with a Hubbard U
State: relaxed

Structure (POSCAR):
```
Pm2GaFeO6
1.0
-3.2551 0.1460 -4.2976
4.2997 -1.4083 -3.3046
-1.7918 -7.6021 0.9083
Pm Ga Fe O
4 2 2 12
Direct
0.0162 0.9416 0.2522
0.5162 0.5584 0.7522
0.9838 0.0584 0.7478
0.4838 0.4416 0.2478
0.5000 0.0000 0.5000
0.0000 0.5000 0.0000
0.5000 0.0000 0.0000
0.0000 0.5000 0.5000
0.2987 0.7062 0.0487
0.7987 0.7938 0.5487
0.7013 0.2938 0.9513
0.2013 0.2062 0.4513
0.2923 0.7007 0.4486
0.7923 0.7993 0.9486
0.7077 0.2993 0.5514
0.2077 0.2007 0.0514
0.9071 0.5245 0.2414
0.4071 0.9755 0.7414
0.0929 0.4755 0.7586
0.5929 0.0245 0.2586
```

Values from the calculation:
volume	237.55	Å³/cell

Material: GaFe2PtO
Method: DFT, PBE with a Hubbard U
State: relaxed

Structure (POSCAR):
```
GaFe2PtO
1.0
4.0125 0.0000 0.0000
0.0000 4.5315 0.0000
0.0000 0.0000 4.0125
O Ga Pt Fe
1 1 1 2
Direct
0.0000 0.0000 0.0000
0.0000 0.5000 0.0000
0.5000 0.5000 0.5000
0.0000 0.0000 0.5000
0.5000 0.0000 0.0000
```

Values from the calculation:
DOS(E_F)	1.9	states/eV/cell
volume	72.96	Å³/cell

Material: PuGaFeO6
Method: DFT, PBE with a Hubbard U
State: relaxed

Structure (POSCAR):
```
PuGaFeO6
1.0
-0.2663 -4.4160 2.5576
3.8604 0.8479 -3.2392
4.7536 3.5294 6.5890
Pu Ga Fe O
2 2 2 12
Direct
0.6667 0.3333 0.2500
0.3333 0.6667 0.7500
0.0000 0.0000 0.0000
0.0000 0.0000 0.5000
0.3333 0.6667 0.2500
0.6667 0.3333 0.7500
0.6598 0.6752 0.1278
0.0154 0.3402 0.1278
0.3402 0.0154 0.6278
0.9846 0.6598 0.8722
0.3248 0.3402 0.3722
0.0154 0.6752 0.3722
0.6752 0.0154 0.8722
0.6598 0.9846 0.3722
0.9846 0.3248 0.6278
0.3248 0.9846 0.1278
0.6752 0.6598 0.6278
0.3402 0.3248 0.8722
```

Values from the calculation:
DOS(E_F)	12.7	states/eV/cell
volume	200.33	Å³/cell

Material: PuGaFe2O6
Method: DFT, PBE with a Hubbard U
State: relaxed

Structure (POSCAR):
```
PuGaFe2O6
1.0
-4.6228 -1.7677 -1.8764
-0.1050 -4.3398 -3.0793
-2.0850 -4.7292 2.2590
Pu Ga Fe O
1 1 2 6
Direct
0.3198 0.3188 0.0423
0.8150 0.8143 0.5579
0.5216 0.5230 0.4347
0.0196 0.0185 0.9478
0.6083 0.2042 0.2692
0.2013 0.9184 0.2541
0.9142 0.6188 0.2625
0.4386 0.7193 0.7467
0.7322 0.0906 0.7486
0.0909 0.4357 0.7514
```

Values from the calculation:
DOS(E_F)	8.0	states/eV/cell
volume	116.92	Å³/cell

Material: RbGaFeO2
Method: DFT, PBE with a Hubbard U
State: relaxed

Structure (POSCAR):
```
RbGaFeO2
1.0
-3.6856 -1.4696 1.9396
1.7981 -5.1722 -0.5021
1.9586 0.2977 3.9472
O Ga Rb Fe
2 1 1 1
Direct
0.0000 0.0000 0.5000
0.5000 0.0000 0.0000
0.5000 0.5000 0.5000
0.0000 0.5000 0.0000
0.0000 0.0000 0.0000
```

Values from the calculation:
DOS(E_F)	2.0	states/eV/cell
volume	107.25	Å³/cell

Material: Rb2GaFeO4
Method: DFT, PBE with a Hubbard U
State: relaxed

Structure (POSCAR):
```
Rb2GaFeO4
1.0
-2.1775 -0.6000 4.6700
-6.1203 -2.6877 -0.3178
3.0134 -9.7242 3.0370
Rb Ga Fe O
4 2 2 8
Direct
0.1753 0.0000 0.6495
0.8247 0.0000 0.3505
0.5747 0.5000 0.8505
0.9253 0.5000 0.1495
0.7500 0.5000 0.5000
0.0000 0.0000 0.0000
0.2500 0.5000 0.5000
0.5000 0.0000 0.0000
0.2820 0.8321 0.0907
0.2048 0.1679 0.9093
0.8859 0.8321 0.9093
0.6273 0.1679 0.0907
0.4680 0.6679 0.4093
0.5452 0.3321 0.5907
0.8641 0.6679 0.5907
0.1227 0.3321 0.4093
```

Values from the calculation:
DOS(E_F)	0.0	states/eV/cell
volume	329.69	Å³/cell

no.,uncorrected energy (eV/cell)
1,-16.5
2,-90.1
3,-46.2
4,-22.7
5,-72.5
6,-18.7
7,-77.7
8,-121.8
9,-125.9
10,-66.5
11,-83.9
12,-82.3
13,-58.1
14,-67.2
15,-96.6
16,-145.5
17,-26.9
18,-136.5
19,-76.3
20,-19.4
21,-85.6